1.
# Tm2B2AsRh5 | Alexandria | GGA-PBE | relaxed
data_Tm2B2AsRh5
_cell_length_a 3.2522
_cell_length_b 9.3683
_cell_length_c 9.3683
_cell_angle_alpha 90.00
_cell_angle_beta 90.00
_cell_angle_gamma 90.00
_symmetry_space_group_name_H-M 'P 1'
_symmetry_Int_Tables_number 1
loop_
_symmetry_equiv_pos_as_xyz
'x,y,z'
loop_
_atom_site_label
_atom_site_type_symbol
_atom_site_fract_x
_atom_site_fract_y
_atom_site_fract_z
Tm1 Tm 0.0000 0.6750 0.1750
Tm2 Tm 0.0000 0.3250 0.8250
Tm3 Tm 0.0000 0.1750 0.3250
Tm4 Tm 0.0000 0.8250 0.6750
B1 B 0.0000 0.1212 0.6212
B2 B 0.0000 0.8788 0.3788
B3 B 0.0000 0.6212 0.8788
B4 B 0.0000 0.3788 0.1212
As1 As 0.0000 0.0000 0.0000
As2 As 0.0000 0.5000 0.5000
Rh1 Rh 0.5000 0.2183 0.0708
Rh2 Rh 0.5000 0.7817 0.9292
Rh3 Rh 0.5000 0.0708 0.7817
Rh4 Rh 0.5000 0.7183 0.4292
Rh5 Rh 0.5000 0.9292 0.2183
Rh6 Rh 0.5000 0.2817 0.5708
Rh7 Rh 0.5000 0.5708 0.7183
Rh8 Rh 0.5000 0.4292 0.2817
Rh9 Rh 0.5000 0.5000 0.0000
Rh10 Rh 0.5000 0.0000 0.5000
# DFT total energy = -7.194 eV per atom
# magnetization = 0.00 μB per formula unit

---

2.
# Y3B2AsRh9 | Alexandria | GGA-PBE | relaxed
data_Y3B2AsRh9
_cell_length_a 6.1099
_cell_length_b 6.1099
_cell_length_c 7.5179
_cell_angle_alpha 90.00
_cell_angle_beta 90.00
_cell_angle_gamma 120.00
_symmetry_space_group_name_H-M 'P 1'
_symmetry_Int_Tables_number 1
loop_
_symmetry_equiv_pos_as_xyz
'x,y,z'
loop_
_atom_site_label
_atom_site_type_symbol
_atom_site_fract_x
_atom_site_fract_y
_atom_site_fract_z
Y1 Y 0.3333 0.6667 0.6688
Y2 Y 0.0000 0.0000 0.0000
Y3 Y 0.6667 0.3333 0.3312
B1 B 0.3333 0.6667 0.1451
B2 B 0.6667 0.3333 0.8550
As1 As 0.0000 0.0000 0.5000
Rh1 Rh 0.8225 0.1775 0.6833
Rh2 Rh 0.8225 0.6450 0.6833
Rh3 Rh 0.3550 0.1775 0.6833
Rh4 Rh 0.6450 0.8225 0.3167
Rh5 Rh 0.1775 0.3550 0.3167
Rh6 Rh 0.1775 0.8225 0.3167
Rh7 Rh 0.5000 0.0000 0.0000
Rh8 Rh 0.0000 0.5000 0.0000
Rh9 Rh 0.5000 0.5000 0.0000
# DFT total energy = -7.606 eV per atom
# magnetization = 0.00 μB per formula unit

---

3.
# YBAsRh3 | Alexandria | GGA-PBE | relaxed
data_YBAsRh3
_cell_length_a 5.7537
_cell_length_b 5.7217
_cell_length_c 6.6388
_cell_angle_alpha 115.53
_cell_angle_beta 90.00
_cell_angle_gamma 90.00
_symmetry_space_group_name_H-M 'P 1'
_symmetry_Int_Tables_number 1
loop_
_symmetry_equiv_pos_as_xyz
'x,y,z'
loop_
_atom_site_label
_atom_site_type_symbol
_atom_site_fract_x
_atom_site_fract_y
_atom_site_fract_z
Y1 Y 0.7500 0.2583 0.5166
Y2 Y 0.2500 0.7417 0.4834
B1 B 0.2500 0.0036 0.0072
B2 B 0.7500 0.9964 0.9928
As1 As 0.2500 0.3727 0.7455
As2 As 0.7500 0.6273 0.2545
Rh1 Rh 0.2500 0.1780 0.3560
Rh2 Rh 0.0000 0.2551 0.0000
Rh3 Rh 0.5000 0.7449 0.0000
Rh4 Rh 0.5000 0.2551 0.0000
Rh5 Rh 0.0000 0.7449 0.0000
Rh6 Rh 0.7500 0.8220 0.6440
# DFT total energy = -7.303 eV per atom
# magnetization = 0.00 μB per formula unit

---

4.
# BAsRu2 | Alexandria | GGA-PBE | relaxed
data_BAsRu2
_cell_length_a 5.1246
_cell_length_b 5.1246
_cell_length_c 6.0998
_cell_angle_alpha 65.16
_cell_angle_beta 65.16
_cell_angle_gamma 90.00
_symmetry_space_group_name_H-M 'P 1'
_symmetry_Int_Tables_number 1
loop_
_symmetry_equiv_pos_as_xyz
'x,y,z'
loop_
_atom_site_label
_atom_site_type_symbol
_atom_site_fract_x
_atom_site_fract_y
_atom_site_fract_z
Ru1 Ru 0.5687 0.1250 0.2500
Ru2 Ru 0.1813 0.6250 0.2500
Ru3 Ru 0.3750 0.4313 0.7500
Ru4 Ru 0.8750 0.8187 0.7500
As1 As 0.0000 0.0000 0.0000
As2 As 0.7500 0.2500 0.5000
B1 B 0.5000 0.5000 0.0000
B2 B 0.2500 0.7500 0.5000
# DFT total energy = -7.219 eV per atom
# ΔE to the lowest computed polymorph = 109 meV per atom
# magnetization = 0.00 μB per formula unit

---

5.
# B3AsRu | Alexandria | GGA-PBE | relaxed
data_B3AsRu
_cell_length_a 4.0258
_cell_length_b 4.0258
_cell_length_c 4.0258
_cell_angle_alpha 90.00
_cell_angle_beta 90.00
_cell_angle_gamma 90.00
_symmetry_space_group_name_H-M 'P 1'
_symmetry_Int_Tables_number 1
loop_
_symmetry_equiv_pos_as_xyz
'x,y,z'
loop_
_atom_site_label
_atom_site_type_symbol
_atom_site_fract_x
_atom_site_fract_y
_atom_site_fract_z
Ru1 Ru 0.5000 0.5000 0.5000
As1 As 0.0000 0.0000 0.0000
B1 B 0.0000 0.5000 0.0000
B2 B 0.0000 0.0000 0.5000
B3 B 0.5000 0.0000 0.0000
# DFT total energy = -4.652 eV per atom
# ΔE to the lowest computed polymorph = 783 meV per atom
# magnetization = 1.45 μB per formula unit

---

6.
# B3AsRu | Alexandria | GGA-PBE | relaxed
data_B3AsRu
_cell_length_a 4.1142
_cell_length_b 4.1142
_cell_length_c 4.1142
_cell_angle_alpha 90.00
_cell_angle_beta 90.00
_cell_angle_gamma 90.00
_symmetry_space_group_name_H-M 'P 1'
_symmetry_Int_Tables_number 1
loop_
_symmetry_equiv_pos_as_xyz
'x,y,z'
loop_
_atom_site_label
_atom_site_type_symbol
_atom_site_fract_x
_atom_site_fract_y
_atom_site_fract_z
Ru1 Ru 0.0000 0.0000 0.0000
As1 As 0.5000 0.5000 0.5000
B1 B 0.0000 0.5000 0.0000
B2 B 0.0000 0.0000 0.5000
B3 B 0.5000 0.0000 0.0000
# DFT total energy = -5.435 eV per atom
# ΔE to the lowest computed polymorph = 0 meV per atom
# magnetization = 1.69 μB per formula unit

---

| no. | energy relative to the elements (eV/atom) |
| --- | --- |
| 1 | -0.82 |
| 2 | -0.70 |
| 3 | -0.66 |
| 4 | 0.25 |
| 5 | 2.14 |
| 6 | 1.36 |